Below is a geometry-optimized Ho4ZrTl5 structure, with properties calculated at the PBE-GGA level.

The structure belongs to space group P4/mmm (No. 123); the cell edges are 3.573, 3.573 and 20.417 Å and the angles 90.00°, 90.00° and 90.00°. The inequivalent atoms are Ho at (0.000, 0.000, 0.102), Ho at (0.000, 0.000, 0.306), Zr at (0.000, 0.000, 0.500), Tl at (0.500, 0.500, 0.000), Tl at (0.500, 0.500, 0.204) and Tl at (0.500, 0.500, 0.406).

For the formation enthalpy at 0 K, the calculation gives -260 meV/atom. Its total energy is -4.1286 eV per atom. The value obtained for the size of the total moment is 0.0 μB per cell.